{
  "formula": "ZnPb3Cl",
  "functional": "PBE-GGA",
  "state": "relaxed",
  "sg": "Pm-3m (221)",
  "de_polymorph_ev_per_atom": 0.240,
  "cell": [[5.566, 0.000, 0.000], [0.000, 5.566, 0.000], [0.000, 0.000, 5.566]],
  "species": ["Zn", "Pb", "Pb", "Pb", "Cl"],
  "frac_coords": [[0.000, 0.000, 0.000], [0.000, 0.500, 0.500], [0.500, 0.000, 0.500], [0.500, 0.500, 0.000], [0.500, 0.500, 0.500]]
}



{
  "formula": "Ba2ZnHF6",
  "functional": "PBE-GGA",
  "state": "relaxed",
  "sg": "Fm-3m (225)",
  "total_energy_ev_per_cell": -46.40,
  "cell": [[0.000, 4.220, 4.220], [4.220, 0.000, 4.220], [4.220, 4.220, 0.000]],
  "species": ["Ba", "Ba", "Zn", "H", "F", "F", "F", "F", "F", "F"],
  "frac_coords": [[0.250, 0.250, 0.250], [0.750, 0.750, 0.750], [0.000, 0.000, 0.000], [0.500, 0.500, 0.500], [0.239, 0.239, 0.761], [0.239, 0.761, 0.239], [0.239, 0.761, 0.761], [0.761, 0.239, 0.239], [0.761, 0.239, 0.761], [0.761, 0.761, 0.239]]
}



{
  "formula": "Be2Cr3",
  "functional": "PBE-GGA",
  "state": "relaxed",
  "sg": "Fdd2 (43)",
  "de_polymorph_ev_per_atom": 0.000,
  "ef_ev_per_atom": 0.179,
  "cell": [[0.000, 5.881, 2.146], [4.087, 0.000, 2.146], [4.087, 5.881, 0.000]],
  "species": ["Be", "Be", "Be", "Be", "Cr", "Cr", "Cr", "Cr", "Cr", "Cr"],
  "frac_coords": [[0.026, 0.474, 0.070], [0.180, 0.820, 0.224], [0.474, 0.026, 0.430], [0.820, 0.180, 0.776], [0.044, 0.044, 0.956], [0.294, 0.294, 0.206], [0.451, 0.593, 0.340], [0.593, 0.451, 0.615], [0.635, 0.910, 0.657], [0.910, 0.635, 0.799]]
}



{
  "formula": "NdZr2Ru",
  "functional": "PBE-GGA",
  "state": "relaxed",
  "sg": "P4/mmm (123)",
  "de_polymorph_ev_per_atom": 0.000,
  "ef_ev_per_atom": -0.173,
  "cell": [[3.328, 0.000, 0.000], [0.000, 3.328, 0.000], [0.000, 0.000, 8.170]],
  "species": ["Nd", "Zr", "Zr", "Ru"],
  "frac_coords": [[0.000, 0.000, 0.000], [0.500, 0.500, 0.307], [0.500, 0.500, 0.693], [0.000, 0.000, 0.500]]
}



{
  "formula": "Co2TcTe",
  "functional": "PBE-GGA",
  "state": "relaxed",
  "sg": "C2/m (12)",
  "total_energy_ev_per_cell": -25.95,
  "cell": [[4.271, -1.520, 0.000], [4.271, 1.520, 0.000], [-0.731, 0.000, 4.507]],
  "species": ["Co", "Co", "Tc", "Te"],
  "frac_coords": [[0.240, 0.240, 0.215], [0.760, 0.760, 0.785], [0.500, 0.500, 0.000], [0.000, 0.000, 0.500]]
}



{
  "formula": "BeTl2Si",
  "functional": "PBE-GGA",
  "state": "relaxed",
  "sg": "R-3m (166)",
  "de_polymorph_ev_per_atom": 0.461,
  "cell": [[1.788, 1.032, 7.671], [-1.788, 1.032, 7.671], [0.000, -2.065, 7.671]],
  "species": ["Be", "Tl", "Tl", "Si"],
  "frac_coords": [[0.000, 0.000, 0.000], [0.257, 0.257, 0.257], [0.743, 0.743, 0.743], [0.500, 0.500, 0.500]]
}



{
  "formula": "CdReRh",
  "functional": "PBE-GGA",
  "state": "relaxed",
  "sg": "P3m1 (156)",
  "de_polymorph_ev_per_atom": 0.237,
  "ef_ev_per_atom": 0.168,
  "cell": [[2.822, 0.000, 0.000], [-1.411, 2.444, 0.000], [0.000, 0.000, 7.057]],
  "species": ["Cd", "Re", "Rh"],
  "frac_coords": [[0.000, 0.000, 0.000], [0.333, 0.667, 0.361], [0.667, 0.333, 0.651]]
}



{
  "formula": "Mg2RuPt",
  "functional": "PBE-GGA",
  "state": "relaxed",
  "sg": "I-42d (122)",
  "ef_ev_per_atom": 0.142,
  "cell": [[-3.556, 3.556, 2.765], [3.556, -3.556, 2.765], [3.556, 3.556, -2.765]],
  "species": ["Mg", "Mg", "Mg", "Mg", "Ru", "Ru", "Pt", "Pt"],
  "frac_coords": [[0.117, 0.625, 0.992], [0.375, 0.367, 0.492], [0.633, 0.125, 0.008], [0.875, 0.883, 0.508], [0.250, 0.750, 0.500], [0.500, 0.500, 0.000], [0.000, 0.000, 0.000], [0.750, 0.250, 0.500]]
}



{
  "formula": "Li4Ag3Hg3",
  "functional": "PBE-GGA",
  "state": "relaxed",
  "sg": "I-43d (220)",
  "ef_ev_per_atom": -0.151,
  "cell": [[-4.641, 4.641, 4.641], [4.641, -4.641, 4.641], [4.641, 4.641, -4.641]],
  "species": ["Li", "Li", "Li", "Li", "Li", "Li", "Li", "Li", "Ag", "Ag", "Ag", "Ag", "Ag", "Ag", "Hg", "Hg", "Hg", "Hg", "Hg", "Hg"],
  "frac_coords": [[0.000, 0.241, 0.500], [0.000, 0.741, 0.500], [0.241, 0.500, 0.000], [0.259, 0.259, 0.259], [0.500, 0.000, 0.241], [0.500, 0.000, 0.741], [0.741, 0.500, 0.000], [0.759, 0.759, 0.759], [0.125, 0.750, 0.875], [0.250, 0.625, 0.375], [0.375, 0.250, 0.625], [0.625, 0.375, 0.250], [0.750, 0.875, 0.125], [0.875, 0.125, 0.750], [0.125, 0.875, 0.250], [0.250, 0.125, 0.875], [0.375, 0.625, 0.750], [0.625, 0.750, 0.375], [0.750, 0.375, 0.625], [0.875, 0.250, 0.125]]
}



{
  "formula": "Sr2YCr",
  "functional": "PBE-GGA",
  "state": "relaxed",
  "sg": "Immm (71)",
  "de_polymorph_ev_per_atom": 0.179,
  "ef_ev_per_atom": 0.525,
  "cell": [[-2.016, 2.879, 6.026], [2.016, -2.879, 6.026], [2.016, 2.879, -6.026]],
  "species": ["Sr", "Sr", "Y", "Cr"],
  "frac_coords": [[0.213, 0.213, 0.000], [0.787, 0.787, 0.000], [0.500, 0.000, 0.500], [0.000, 0.500, 0.500]]
}



{
  "formula": "LaErIrRu",
  "functional": "PBE-GGA",
  "state": "relaxed",
  "sg": "F-43m (216)",
  "ef_ev_per_atom": -0.454,
  "cell": [[0.000, 3.482, 3.482], [3.482, 0.000, 3.482], [3.482, 3.482, 0.000]],
  "species": ["La", "Er", "Ir", "Ru"],
  "frac_coords": [[0.000, 0.000, 0.000], [0.500, 0.500, 0.500], [0.250, 0.250, 0.250], [0.750, 0.750, 0.750]]
}



{
  "formula": "RbSi2Pt2",
  "functional": "PBE-GGA",
  "state": "relaxed",
  "sg": "P-1 (2)",
  "de_polymorph_ev_per_atom": 0.000,
  "cell": [[6.119, 0.000, 0.000], [-2.175, 5.723, 0.000], [-1.933, -2.803, 6.403]],
  "species": ["Rb", "Rb", "Si", "Si", "Si", "Si", "Pt", "Pt", "Pt", "Pt"],
  "frac_coords": [[0.124, 0.376, 0.251], [0.876, 0.624, 0.749], [0.239, 0.261, 0.750], [0.490, 0.010, 0.250], [0.510, 0.990, 0.750], [0.761, 0.739, 0.250], [0.215, 0.966, 0.431], [0.466, 0.714, 0.931], [0.534, 0.286, 0.069], [0.785, 0.034, 0.569]]
}